1) Crystalline SmY2Zn at its relaxed geometry. Source: Alexandria, functional GGA-PBE.

Cell and atoms, written as extended XYZ:
```
4
Lattice="4.7943 0.0000 0.0000 0.0000 4.7943 0.0000 0.0000 0.0000 4.7797" Properties=species:S:1:pos:R:3 pbc="T T T"
Sm 0.0000 0.0000 0.0000
Y 0.0000 2.3972 2.3898
Y 2.3972 0.0000 2.3898
Zn 2.3972 2.3972 0.0000
```

Its space group is P4/mmm, No. 123. For the magnetic moment, the calculation gives 0.23 μB per formula unit. For the calculated volume, the calculation gives 110 Å³/cell.

2) Crystalline SmY2Zn at its relaxed geometry. Source: Alexandria, functional GGA-PBE.

Cell and atoms, written as extended XYZ:
```
12
Lattice="3.6061 0.0000 0.0000 -1.8030 3.1230 0.0000 0.0000 0.0000 31.0510" Properties=species:S:1:pos:R:3 pbc="T T T"
Sm 0.0000 0.0000 0.0000
Sm 0.0000 2.0820 20.7007
Sm 1.8030 1.0410 10.3503
Y 0.0000 0.0000 7.3908
Y 0.0000 0.0000 23.6602
Y 0.0000 2.0820 13.3099
Y 0.0000 2.0820 28.0915
Y 1.8030 1.0410 2.9595
Y 1.8030 1.0410 17.7411
Zn 0.0000 0.0000 15.5255
Zn 0.0000 2.0820 5.1752
Zn 1.8030 1.0410 25.8758
```

Its space group is R-3m, No. 166. For the magnetic moment, the calculation gives 0.00 μB per formula unit. For the calculated volume, the calculation gives 350 Å³/cell.

3) Crystalline SmY2Zn at its relaxed geometry. Source: Alexandria, functional GGA-PBE.

Cell and atoms, written as extended XYZ:
```
4
Lattice="3.5894 0.0000 0.0000 0.0000 3.5894 0.0000 0.0000 0.0000 8.7360" Properties=species:S:1:pos:R:3 pbc="T T T"
Sm 0.0000 0.0000 0.0000
Y 1.7947 1.7947 2.5925
Y 1.7947 1.7947 6.1435
Zn 0.0000 0.0000 4.3680
```

Its space group is P4/mmm, No. 123. For the magnetic moment, the calculation gives 0.00 μB per formula unit. For the calculated volume, the calculation gives 113 Å³/cell.

4) Crystalline SmY2Zn at its relaxed geometry. Source: Alexandria, functional GGA-PBE.

Cell and atoms, written as extended XYZ:
```
12
Lattice="3.6392 0.0000 0.0000 -1.8196 3.1517 0.0000 0.0000 0.0000 30.7658" Properties=species:S:1:pos:R:3 pbc="T T T"
Sm 0.0000 0.0000 0.0000
Sm 0.0000 2.1011 20.5105
Sm 1.8196 1.0506 10.2552
Y 0.0000 0.0000 7.3190
Y 0.0000 0.0000 13.2261
Y 0.0000 2.1011 2.9708
Y 0.0000 2.1011 27.8295
Y 1.8196 1.0506 17.5743
Y 1.8196 1.0506 23.4814
Zn 0.0000 0.0000 25.6667
Zn 0.0000 2.1011 15.4114
Zn 1.8196 1.0506 5.1562
```

Its space group is R3m, No. 160. For the magnetic moment, the calculation gives 0.00 μB per formula unit. For the calculated volume, the calculation gives 353 Å³/cell.

Energetically preferred structure: 3) | next structure: +8.7 kJ/mol of atoms

1) Crystalline Sm2YZr at its relaxed geometry. Source: Alexandria, functional GGA-PBE.

Cell and atoms, written as extended XYZ:
```
4
Lattice="4.9411 0.0000 0.0000 0.0000 4.9411 0.0000 0.0000 0.0000 4.8994" Properties=species:S:1:pos:R:3 pbc="T T T"
Sm 0.0000 2.4705 0.0000
Sm 2.4705 0.0000 0.0000
Y 0.0000 0.0000 2.4497
Zr 2.4705 2.4705 2.4497
```

Its space group is P4/mmm, No. 123. For the magnetic moment, the calculation gives 0.00 μB per formula unit. For the calculated volume, the calculation gives 120 Å³/cell.

2) Crystalline Sm2YZr at its relaxed geometry. Source: Alexandria, functional GGA-PBE.

Cell and atoms, written as extended XYZ:
```
4
Lattice="4.0555 0.0000 0.0000 0.0000 4.0555 0.0000 0.0000 0.0000 7.3282" Properties=species:S:1:pos:R:3 pbc="T T T"
Sm 0.0000 0.0000 1.6384
Sm 0.0000 0.0000 5.6897
Y 2.0277 2.0277 3.6641
Zr 2.0277 2.0277 0.0000
```

Its space group is P4/mmm, No. 123. For the magnetic moment, the calculation gives 0.00 μB per formula unit. For the calculated volume, the calculation gives 121 Å³/cell.

Energetically preferred structure: 1) | next structure: +4.9 kJ/mol of atoms

1) Crystalline Sm2YZr at its relaxed geometry. Source: Alexandria, functional GGA-PBE.

Cell and atoms, written as extended XYZ:
```
12
Lattice="3.4987 0.0000 0.0000 -1.7493 3.0299 0.0000 0.0000 0.0000 34.1003" Properties=species:S:1:pos:R:3 pbc="T T T"
Sm 0.0000 0.0000 0.0000
Sm 0.0000 0.0000 6.0179
Sm 0.0000 2.0199 22.7336
Sm 0.0000 2.0199 28.7515
Sm 1.7493 1.0100 11.3668
Sm 1.7493 1.0100 17.3847
Y 0.0000 0.0000 14.3593
Y 0.0000 2.0199 2.9925
Y 1.7493 1.0100 25.7260
Zr 0.0000 0.0000 20.0689
Zr 0.0000 2.0199 8.7021
Zr 1.7493 1.0100 31.4357
```

Its space group is R3m, No. 160. For the magnetic moment, the calculation gives 0.00 μB per formula unit. For the calculated volume, the calculation gives 361 Å³/cell.

2) Crystalline Sm2YZr at its relaxed geometry. Source: Alexandria, functional GGA-PBE.

Cell and atoms, written as extended XYZ:
```
16
Lattice="7.8436 0.0000 0.0000 0.0000 7.8436 0.0000 0.0000 0.0000 7.8436" Properties=species:S:1:pos:R:3 pbc="T T T"
Sm 1.9609 1.9609 1.9609
Sm 1.9609 1.9609 5.8827
Sm 1.9609 5.8827 1.9609
Sm 1.9609 5.8827 5.8827
Sm 5.8827 1.9609 1.9609
Sm 5.8827 1.9609 5.8827
Sm 5.8827 5.8827 1.9609
Sm 5.8827 5.8827 5.8827
Y 0.0000 0.0000 0.0000
Y 0.0000 3.9218 3.9218
Y 3.9218 0.0000 3.9218
Y 3.9218 3.9218 0.0000
Zr 0.0000 0.0000 3.9218
Zr 0.0000 3.9218 0.0000
Zr 3.9218 0.0000 0.0000
Zr 3.9218 3.9218 3.9218
```

Its space group is Fm-3m, No. 225. For the magnetic moment, the calculation gives 1.74 μB per formula unit. For the calculated volume, the calculation gives 483 Å³/cell.

Energetically preferred structure: 1) | next structure: +10.6 kJ/mol of atoms

1) Crystalline Sm4Zn3 at its relaxed geometry. Source: Alexandria, functional GGA-PBE.

Cell and atoms, written as extended XYZ:
```
7
Lattice="2.5572 1.4764 8.2151 -2.5572 1.4764 8.2151 0.0000 -2.9528 8.2151" Properties=species:S:1:pos:R:3 pbc="T T T"
Sm 0.0000 0.0000 2.9804
Sm 0.0000 0.0000 9.1817
Sm 0.0000 0.0000 15.4637
Sm 0.0000 0.0000 21.6650
Zn 0.0000 0.0000 6.0942
Zn 0.0000 0.0000 12.3227
Zn 0.0000 0.0000 18.5512
```

Its space group is R-3m, No. 166. For the magnetic moment, the calculation gives 0.00 μB per formula unit. For the calculated volume, the calculation gives 186 Å³/cell.

2) Crystalline Sm4Zn3 at its relaxed geometry. Source: Alexandria, functional GGA-PBE.

Cell and atoms, written as extended XYZ:
```
7
Lattice="2.5328 1.4623 8.6979 -2.5328 1.4623 8.6979 0.0000 -2.9246 8.6979" Properties=species:S:1:pos:R:3 pbc="T T T"
Sm 0.0000 0.0000 3.2395
Sm 0.0000 0.0000 7.6229
Sm 0.0000 0.0000 18.4709
Sm 0.0000 0.0000 22.8542
Zn 0.0000 0.0000 10.6109
Zn 0.0000 0.0000 13.0469
Zn 0.0000 0.0000 15.4829
```

Its space group is R-3m, No. 166. For the magnetic moment, the calculation gives 0.00 μB per formula unit. For the calculated volume, the calculation gives 193 Å³/cell.

Energetically preferred structure: 1) | next structure: +8.5 kJ/mol of atoms

1) Crystalline Sn at its relaxed geometry. Source: Alexandria, functional GGA-PBE.

Cell and atoms, written as extended XYZ:
```
6
Lattice="5.8766 0.0000 0.0000 0.0000 3.4406 0.0000 -2.3145 0.0000 8.1444" Properties=species:S:1:pos:R:3 pbc="T T T"
Sn 0.0000 0.0000 0.0000
Sn -0.2010 0.0000 5.4271
Sn 0.8249 1.7203 2.7173
Sn 2.9383 1.7203 0.0000
Sn 2.7373 1.7203 5.4271
Sn 3.7632 0.0000 2.7173
```

Its space group is C2/m, No. 12. For the magnetic moment, the calculation gives 0.00 μB per formula unit. For the calculated volume, the calculation gives 165 Å³/cell.

2) Crystalline Sn at its relaxed geometry. Source: Alexandria, functional GGA-PBE.

Cell and atoms, written as extended XYZ:
```
16
Lattice="9.1317 0.0000 0.0000 0.0000 9.1317 0.0000 0.0000 0.0000 9.1317" Properties=species:S:1:pos:R:3 pbc="T T T"
Sn 1.4577 1.4577 1.4577
Sn 1.4577 1.4577 7.6739
Sn 1.4577 7.6739 1.4577
Sn 1.4577 7.6739 7.6739
Sn 3.1081 3.1081 3.1081
Sn 3.1081 3.1081 6.0235
Sn 3.1081 6.0235 3.1081
Sn 3.1081 6.0235 6.0235
Sn 6.0235 3.1081 3.1081
Sn 6.0235 3.1081 6.0235
Sn 6.0235 6.0235 3.1081
Sn 6.0235 6.0235 6.0235
Sn 7.6739 1.4577 1.4577
Sn 7.6739 1.4577 7.6739
Sn 7.6739 7.6739 1.4577
Sn 7.6739 7.6739 7.6739
```

Its space group is Im-3m, No. 229. For the magnetic moment, the calculation gives 0.00 μB per formula unit. For the calculated volume, the calculation gives 761 Å³/cell.

Energetically preferred structure: 1) | next structure: +14.1 kJ/mol of atoms